(1)
Compound: Pr3ErTm2
Source: Alexandria via LeMat-Bulk
Functional: PBE-GGA
Structure: relaxed

Calculated values
Magnetization (μB/f.u.): 0.00
Offset from the most stable computed form (eV per formula unit): 1.411
Space-group type: Immm, No. 71
Energy of formation (kJ/mol of formula units): 203
Density of states at the Fermi level (states/eV per cell): 20.1

Structure (extended XYZ):
```
12
Lattice="3.4902 0.0000 0.0000 0.0000 5.9562 0.0000 0.0000 0.0000 19.5919" Properties=species:S:1:pos:R:3 pbc="T T T"
Pr 0.0000 0.0000 0.0000
Pr 0.0000 2.9781 3.6836
Pr 0.0000 2.9781 15.9083
Pr 1.7451 0.0000 6.1124
Pr 1.7451 0.0000 13.4795
Pr 1.7451 2.9781 9.7960
Er 0.0000 2.9781 0.0000
Er 1.7451 0.0000 9.7960
Tm 0.0000 2.9781 7.1043
Tm 0.0000 2.9781 12.4876
Tm 1.7451 0.0000 2.6917
Tm 1.7451 0.0000 16.9002
```

***

(2)
Compound: PrEr2Tm2
Source: Alexandria via LeMat-Bulk
Functional: PBE-GGA
Structure: relaxed

Calculated values
Magnetization (μB/f.u.): 0.00
Offset from the most stable computed form (eV per formula unit): 0.000
Space-group type: P4/mbm, No. 127
Energy of formation (kJ/mol of formula units): 40
Density of states at the Fermi level (states/eV per cell): 11.7

Structure (extended XYZ):
```
10
Lattice="9.3835 0.0000 0.0000 0.0000 9.3835 0.0000 0.0000 0.0000 3.6525" Properties=species:S:1:pos:R:3 pbc="T T T"
Pr 0.0000 0.0000 0.0000
Pr 4.6918 4.6918 0.0000
Er 1.6205 3.0713 1.8262
Er 3.0713 7.7631 1.8262
Er 6.3122 1.6205 1.8262
Er 7.7631 6.3122 1.8262
Tm 1.1561 5.8478 0.0000
Tm 3.5357 1.1561 0.0000
Tm 5.8478 8.2275 0.0000
Tm 8.2275 3.5357 0.0000
```

***

(3)
Compound: Pr7ErTm12
Source: Alexandria via LeMat-Bulk
Functional: PBE-GGA
Structure: relaxed

Calculated values
Magnetization (μB/f.u.): 0.00
Offset from the most stable computed form (eV per formula unit): 0.000
Space-group type: R-3, No. 148
Energy of formation (kJ/mol of formula units): 438
Density of states at the Fermi level (states/eV per cell): 34.7

Structure (extended XYZ):
```
20
Lattice="5.9654 3.4441 5.4088 -5.9654 3.4441 5.4088 0.0000 -6.8882 5.4088" Properties=species:S:1:pos:R:3 pbc="T T T"
Pr 0.0000 0.0000 0.0000
Pr -1.4384 -1.3530 4.6683
Pr -0.4525 1.9222 4.6682
Pr 1.8909 -0.5692 4.6682
Pr -1.8909 0.5692 11.5581
Pr 0.4525 -1.9222 11.5581
Pr 1.4384 1.3530 11.5581
Er 0.0000 0.0000 8.1132
Tm -2.1546 -4.8286 6.7628
Tm -5.2590 -0.5484 9.4636
Tm -3.1270 0.9192 7.2292
Tm -2.3596 -2.2485 8.9972
Tm 0.7675 -3.1677 7.2292
Tm -3.1044 4.2802 6.7628
Tm 3.1044 -4.2802 9.4635
Tm -0.7675 3.1677 8.9972
Tm 2.3596 2.2485 7.2292
Tm 3.1270 -0.9192 8.9972
Tm 5.2590 0.5483 6.7628
Tm 2.1546 4.8286 9.4636
```

***

(4)
Compound: Pr3ErTm5
Source: Alexandria via LeMat-Bulk
Functional: PBE-GGA
Structure: relaxed

Calculated values
Magnetization (μB/f.u.): 0.00
Space-group type: C2/m, No. 12
Energy of formation (kJ/mol of formula units): 468
Density of states at the Fermi level (states/eV per cell): 23.8

Structure (extended XYZ):
```
18
Lattice="7.7189 -5.5665 0.0000 7.7189 5.5665 0.0000 -6.6036 0.0000 7.6395" Properties=species:S:1:pos:R:3 pbc="T T T"
Pr 0.0000 0.0000 0.0000
Pr -1.8450 0.0000 2.3338
Pr 6.3979 0.0000 0.9920
Pr 4.4171 0.0000 3.8197
Pr 2.4364 0.0000 6.6475
Pr 10.6793 0.0000 5.3057
Er 3.1805 0.0000 0.8234
Er 5.6537 0.0000 6.8160
Tm 0.2798 2.7695 5.6712
Tm -1.5215 0.0000 5.5290
Tm 4.4171 2.8953 3.8197
Tm 1.2212 0.0000 3.6114
Tm 8.5545 2.7695 1.9683
Tm 0.2798 -2.7695 5.6712
Tm 7.6130 0.0000 4.0280
Tm 4.4171 -2.8953 3.8197
Tm 10.3557 0.0000 2.1105
Tm 8.5545 -2.7695 1.9683
```

***

(5)
Compound: PrEr2Tm7
Source: Alexandria via LeMat-Bulk
Functional: PBE-GGA
Structure: relaxed

Calculated values
Magnetization (μB/f.u.): 0.00
Offset from the most stable computed form (eV per formula unit): 6.687
Space-group type: Cmmm, No. 65
Energy of formation (kJ/mol of formula units): 691
Density of states at the Fermi level (states/eV per cell): 14.8

Structure (extended XYZ):
```
10
Lattice="4.3325 -7.9892 0.0000 4.3325 7.9892 0.0000 0.0000 0.0000 5.5546" Properties=species:S:1:pos:R:3 pbc="T T T"
Pr 0.0000 0.0000 0.0000
Er 4.3325 3.2416 2.7773
Er 4.3325 -3.2416 2.7773
Tm 1.5282 1.8498 2.7773
Tm 4.3325 4.5509 0.0000
Tm 1.5282 -1.8498 2.7773
Tm 4.3325 0.0000 2.7773
Tm 7.1368 1.8498 2.7773
Tm 4.3325 -4.5509 0.0000
Tm 7.1368 -1.8498 2.7773
```

***

(6)
Compound: Pr5ErTm3
Source: Alexandria via LeMat-Bulk
Functional: PBE-GGA
Structure: relaxed

Calculated values
Magnetization (μB/f.u.): 0.00
Offset from the most stable computed form (eV per formula unit): 0.413
Space-group type: I4/mcm, No. 140
Energy of formation (kJ/mol of formula units): 275
Density of states at the Fermi level (states/eV per cell): 26.6

Structure (extended XYZ):
```
18
Lattice="-4.6842 4.6842 7.1202 4.6842 -4.6842 7.1202 4.6842 4.6842 -7.1202" Properties=species:S:1:pos:R:3 pbc="T T T"
Pr 0.0000 0.0000 0.0000
Pr 6.5624 1.8782 -1.8874
Pr 1.8782 2.8060 -1.8874
Pr 6.5624 1.8782 1.8874
Pr 1.8782 2.8060 1.8874
Pr 0.0000 0.0000 7.1202
Pr 2.8060 1.8782 5.2329
Pr -1.8782 2.8060 5.2329
Pr 2.8060 1.8782 9.0076
Pr -1.8782 2.8060 9.0076
Er 4.6842 0.0000 3.5601
Er 0.0000 4.6842 3.5601
Tm 3.6634 1.0208 0.0000
Tm 0.0000 0.0000 3.5601
Tm 3.6634 -1.0208 7.1202
Tm 1.0208 5.7050 0.0000
Tm 0.0000 0.0000 10.6804
Tm 1.0208 3.6634 7.1202
```

***

(7)
Compound: Pr4Er4Tm
Source: Alexandria via LeMat-Bulk
Functional: PBE-GGA
Structure: relaxed

Calculated values
Magnetization (μB/f.u.): 0.00
Offset from the most stable computed form (eV per formula unit): 0.774
Space-group type: P-1, No. 2
Energy of formation (kJ/mol of formula units): 94
Density of states at the Fermi level (states/eV per cell): 14.8

Structure (extended XYZ):
```
9
Lattice="5.6355 0.0000 0.0000 -0.0027 6.8090 0.0000 -2.8016 -3.3999 7.8007" Properties=species:S:1:pos:R:3 pbc="T T T"
Pr 0.0039 2.2029 2.0693
Pr 0.0091 -0.4444 4.3683
Pr 2.8221 3.8535 3.4325
Pr 2.8274 1.2062 5.7314
Er 0.0012 5.4545 1.0957
Er 0.0092 3.0949 5.9497
Er 2.8220 0.3142 1.8511
Er 2.8300 -2.0454 6.7050
Tm 2.8164 3.4045 0.0000
```

***

(8)
Compound: Pr3Er4Tm5
Source: Alexandria via LeMat-Bulk
Functional: PBE-GGA
Structure: relaxed

Calculated values
Magnetization (μB/f.u.): 0.00
Offset from the most stable computed form (eV per formula unit): 0.000
Space-group type: P-1, No. 2
Energy of formation (kJ/mol of formula units): 29
Density of states at the Fermi level (states/eV per cell): 15.7

Structure (extended XYZ):
```
12
Lattice="6.1449 0.0000 0.0000 0.0186 7.0975 0.0000 0.0275 0.0160 8.6941" Properties=species:S:1:pos:R:3 pbc="T T T"
Pr 0.0000 0.0000 0.0000
Pr 1.0377 1.7876 2.9095
Pr 5.1533 5.3258 5.7846
Er 1.0671 5.3198 2.8935
Er 2.0773 3.5566 5.8122
Er 4.1136 3.5568 2.8818
Er 5.1239 1.7936 5.8006
Tm 0.0093 3.5487 0.0000
Tm 2.0825 0.0115 5.8068
Tm 3.0787 5.3117 0.0014
Tm 3.1123 1.8017 8.6927
Tm 4.1085 7.1019 2.8873
```

***

(9)
Compound: Pr5Er2Tm12
Source: Alexandria via LeMat-Bulk
Functional: PBE-GGA
Structure: relaxed

Calculated values
Magnetization (μB/f.u.): 0.00
Offset from the most stable computed form (eV per formula unit): 0.000
Space-group type: P-1, No. 2
Energy of formation (kJ/mol of formula units): 49
Density of states at the Fermi level (states/eV per cell): 25.5

Structure (extended XYZ):
```
19
Lattice="6.1454 0.0000 0.0000 -0.0010 9.4016 0.0000 -1.0465 -2.0425 10.3923" Properties=species:S:1:pos:R:3 pbc="T T T"
Pr 0.0000 0.0000 0.0000
Pr -0.0163 4.0038 9.8311
Pr 1.0100 -0.6799 6.0189
Pr 4.0879 8.0390 4.3734
Pr 5.1142 3.3553 0.5612
Er 2.0254 5.3286 5.4692
Er 3.0725 2.0305 4.9231
Tm 0.0077 1.3598 3.2982
Tm -0.0226 2.6796 6.5513
Tm 1.0236 7.3590 2.7340
Tm 1.0179 0.6455 9.3010
Tm 2.0489 4.0140 2.2109
Tm 2.0350 6.6829 8.7439
Tm 3.0628 0.6762 1.6484
Tm 3.0489 3.3451 8.1814
Tm 4.0800 6.7136 1.0913
Tm 4.0742 0.0001 7.6583
Tm 5.1205 4.6795 3.8409
Tm 5.0902 5.9993 7.0940
```